# Tb3Y7Ho2

A relaxed structure of Tb3Y7Ho2 (GGA-PBE, the Alexandria database).

Cell lengths 3.572, 5.807, 19.249 Å; angles 104.18, 90.00, 90.00 degrees
Element x y z (fractional)
1 Tb 0.000 0.149 0.367
2 Y 0.500 0.279 0.537
3 Y 0.000 0.000 0.000
4 Y 0.000 0.461 0.144
5 Y 0.500 0.721 0.463
6 Y 0.000 0.539 0.856
7 Ho 0.500 0.411 0.705
8 Y 0.500 0.993 0.180
9 Ho 0.500 0.589 0.295
10 Tb 0.500 0.500 0.000
11 Y 0.500 0.007 0.820
12 Tb 0.000 0.851 0.633

Properties
Fermi-level density of states, states/eV per atom: 1.327
Relative energy among the computed polymorphs, eV/atom: 0.000



# Tb3Y3Ho5

A relaxed structure of Tb3Y3Ho5 (GGA-PBE, the Alexandria database).

Cell lengths 5.534, 9.629, 9.629 Å; angles 120.00, 90.00, 90.00 degrees
Element x y z (fractional)
1 Ho 0.500 0.000 0.625
2 Ho 0.500 0.375 0.375
3 Y 0.500 0.735 0.735
4 Ho 0.500 0.333 0.667
5 Tb 0.000 0.542 0.542
6 Ho 0.500 0.667 0.333
7 Tb 0.000 0.458 0.000
8 Y 0.500 0.265 0.000
9 Y 0.500 0.000 0.265
10 Tb 0.000 0.000 0.458
11 Ho 0.500 0.625 0.000

Properties
Fermi-level density of states, states/eV per atom: 1.457
Total DFT energy (no corrections), eV/atom: -4.289



# Tb7YHo3

A relaxed structure of Tb7YHo3 (GGA-PBE, the Alexandria database).

Cell lengths 5.792, 8.414, 8.414 Å; angles 82.88, 110.19, 110.19 degrees
Last column: magnetic moment on the atom in μB.
Element x y z (fractional)
1 Y 0.500 0.500 0.500  0.12
2 Tb 0.209 0.207 0.207  0.01
3 Tb 0.000 0.500 0.500  0.14
4 Ho 0.000 0.206 0.794  0.01
5 Tb 0.300 0.599 0.002  0.00
6 Tb 0.700 0.998 0.401  0.00
7 Ho 0.500 0.000 0.000  0.00
8 Tb 0.791 0.793 0.793  0.01
9 Tb 0.700 0.401 0.998  0.00
10 Ho 0.000 0.794 0.206  0.01
11 Tb 0.300 0.002 0.599  0.00

Properties
Fermi-level density of states, states/eV per atom: 1.490
Relative energy among the computed polymorphs, eV/atom: 0.124



# TbY2Ho6

A relaxed structure of TbY2Ho6 (GGA-PBE, the Alexandria database).

Cell lengths 5.008, 10.614, 10.615 Å; angles 90.00, 89.99, 90.00 degrees
Element x y z (fractional)
1 Tb 0.000 0.000 0.500
2 Ho 0.500 0.834 0.000
3 Y 0.500 0.167 0.333
4 Y 0.000 0.333 0.833
5 Ho 0.500 0.166 0.000
6 Tb 0.500 0.500 0.000
7 Ho 0.000 0.333 0.167
8 Ho 0.000 0.666 0.500
9 Ho 0.000 0.667 0.833
10 Ho 0.000 0.000 0.166
11 Ho 0.000 0.334 0.500
12 Y 0.500 0.833 0.667
13 Ho 0.500 0.500 0.666
14 Ho 0.500 0.500 0.334
15 Ho 0.500 0.167 0.667
16 Ho 0.500 0.833 0.333
17 Y 0.000 0.667 0.167
18 Ho 0.000 0.000 0.834

Properties
Fermi-level density of states, states/eV per atom: 1.283
Total DFT energy (no corrections), eV/atom: -4.981



# Tb2Y5Ho6

A relaxed structure of Tb2Y5Ho6 (GGA-PBE, the Alexandria database).

Cell lengths 3.579, 11.595, 20.208 Å; angles 90.00, 90.00, 90.00 degrees
Element x y z (fractional)
1 Ho 0.500 0.672 0.865
2 Y 0.500 0.910 0.774
3 Y 0.500 0.590 0.274
4 Tb 0.000 0.168 0.789
5 Ho 0.000 0.082 0.368
6 Y 0.500 0.000 0.500
7 Tb 0.000 0.332 0.289
8 Ho 0.000 0.939 0.920
9 Y 0.500 0.302 0.449
10 Ho 0.500 0.172 0.635
11 Y 0.500 0.698 0.551
12 Ho 0.000 0.439 0.580
13 Ho 0.500 0.828 0.365
14 Ho 0.000 0.918 0.632
15 Y 0.500 0.198 0.949
16 Y 0.500 0.410 0.726
17 Y 0.500 0.802 0.051
18 Ho 0.000 0.418 0.868
19 Y 0.500 0.500 0.000
20 Ho 0.000 0.561 0.420
21 Tb 0.000 0.668 0.711
22 Y 0.500 0.090 0.226
23 Ho 0.500 0.328 0.135
24 Tb 0.000 0.832 0.211
25 Ho 0.000 0.061 0.080
26 Ho 0.000 0.582 0.132

Properties
Fermi-level density of states, states/eV per atom: 1.264
Total DFT energy (no corrections), eV/atom: -5.211



# Tb2YHo9

A relaxed structure of Tb2YHo9 (GGA-PBE, the Alexandria database).

Cell lengths 5.001, 5.001, 15.000 Å; angles 90.00, 90.00, 90.00 degrees
Element x y z (fractional)
1 Y 0.000 0.000 0.000
2 Ho 0.000 0.500 0.833
3 Ho 0.000 0.500 0.500
4 Tb 0.000 0.000 0.333
5 Ho 0.500 0.000 0.167
6 Ho 0.500 0.500 0.000
7 Ho 0.500 0.000 0.500
8 Ho 0.500 0.000 0.833
9 Tb 0.000 0.000 0.667
10 Ho 0.000 0.500 0.167
11 Ho 0.500 0.500 0.666
12 Ho 0.500 0.500 0.334

Properties
Fermi-level density of states, states/eV per atom: 1.455
Relative energy among the computed polymorphs, eV/atom: 0.000